Density functional theory data (PBE-GGA) for crystalline LuPuIrAu at its relaxed geometry.

Computed properties:
Its calculated formation energy is -600 meV per atom.

Lattice parameters (Å, degrees): 6.9816 6.9816 6.9816 90.00 90.00 90.00
Space group F-43m (No. 216)
Symmetry-distinct sites (fractional):
1 Lu 0.0000 0.0000 0.0000 x4
2 Pu 0.0000 0.0000 0.5000 x4
3 Ir 0.2500 0.2500 0.2500 x4
4 Au 0.2500 0.2500 0.7500 x4

=====

Density functional theory data (PBE-GGA) for crystalline LuScIrAu at its relaxed geometry.

Computed properties:
Its calculated formation energy is -877 meV per atom.

Lattice parameters (Å, degrees): 6.7622 6.7622 6.7622 90.00 90.00 90.00
Space group F-43m (No. 216)
Symmetry-distinct sites (fractional):
1 Lu 0.0000 0.0000 0.0000 x4
2 Sc 0.0000 0.0000 0.5000 x4
3 Ir 0.2500 0.2500 0.2500 x4
4 Au 0.2500 0.2500 0.7500 x4

=====

Density functional theory data (PBE-GGA) for crystalline SmLuIrAu at its relaxed geometry.

Computed properties:
Its calculated formation energy is -793 meV per atom.

Lattice parameters (Å, degrees): 7.0344 7.0344 7.0344 90.00 90.00 90.00
Space group F-43m (No. 216)
Symmetry-distinct sites (fractional):
1 Sm 0.0000 0.0000 0.0000 x4
2 Lu 0.0000 0.0000 0.5000 x4
3 Ir 0.2500 0.2500 0.7500 x4
4 Au 0.2500 0.2500 0.2500 x4

=====

Density functional theory data (PBE-GGA) for crystalline LuSnIrAu at its relaxed geometry.

Computed properties:
Its calculated formation energy is -527 meV per atom.

Lattice parameters (Å, degrees): 6.7823 6.7823 6.7823 90.00 90.00 90.00
Space group F-43m (No. 216)
Symmetry-distinct sites (fractional):
1 Lu 0.0000 0.0000 0.0000 x4
2 Sn 0.0000 0.0000 0.5000 x4
3 Ir 0.2500 0.2500 0.7500 x4
4 Au 0.2500 0.2500 0.2500 x4

=====

Density functional theory data (PBE-GGA) for crystalline LuThIrAu at its relaxed geometry.

Computed properties:
Its calculated formation energy is -768 meV per atom.

Lattice parameters (Å, degrees): 7.1313 7.1313 7.1313 90.00 90.00 90.00
Space group F-43m (No. 216)
Symmetry-distinct sites (fractional):
1 Lu 0.0000 0.0000 0.0000 x4
2 Th 0.0000 0.0000 0.5000 x4
3 Ir 0.2500 0.2500 0.7500 x4
4 Au 0.2500 0.2500 0.2500 x4

=====

Density functional theory data (PBE-GGA) for crystalline LuZrIrAu at its relaxed geometry.

Computed properties:
Its calculated formation energy is -740 meV per atom.

Lattice parameters (Å, degrees): 6.8100 6.8100 6.8100 90.00 90.00 90.00
Space group F-43m (No. 216)
Symmetry-distinct sites (fractional):
1 Lu 0.0000 0.0000 0.0000 x4
2 Zr 0.0000 0.0000 0.5000 x4
3 Ir 0.2500 0.2500 0.7500 x4
4 Au 0.2500 0.2500 0.2500 x4